Compound: Rb4Bi3SbS8
Source: Alexandria
Functional: PBE-GGA
Structure: relaxed

Unit cell a=9.114 b=9.114 c=9.114 alpha=54.44 beta=54.44 gamma=54.44
Fractional positions:
Rb (0.000, 0.000, 0.000)
Rb (0.000, 0.500, 0.500)
Rb (0.500, 0.000, 0.500)
Rb (0.500, 0.500, 0.000)
Bi (0.000, 0.000, 0.500)
Bi (0.000, 0.500, 0.000)
Bi (0.500, 0.000, 0.000)
Sb (0.500, 0.500, 0.500)
S (0.234, 0.234, 0.234)
S (0.238, 0.731, 0.731)
S (0.269, 0.269, 0.762)
S (0.269, 0.762, 0.269)
S (0.731, 0.238, 0.731)
S (0.731, 0.731, 0.238)
S (0.762, 0.269, 0.269)
S (0.766, 0.766, 0.766)

Output
Its total magnetization is 0.0 μB/f.u. The final energy comes out at -4.036 eV per atom. The formation energy from raw total energies is -745 meV/atom.


Compound: NdGa4Cu
Source: Alexandria
Functional: PBE-GGA
Structure: relaxed

Unit cell a=10.834 b=10.834 c=10.834 alpha=153.18 beta=153.18 gamma=38.29
Fractional positions:
Nd (0.375, 0.625, 0.750)
Nd (0.625, 0.375, 0.250)
Ga (0.225, 0.229, 0.504)
Ga (0.225, 0.720, 0.996)
Ga (0.229, 0.225, 0.004)
Ga (0.280, 0.775, 0.504)
Ga (0.720, 0.225, 0.496)
Ga (0.771, 0.775, 0.996)
Ga (0.775, 0.280, 0.004)
Ga (0.775, 0.771, 0.496)
Cu (0.125, 0.875, 0.250)
Cu (0.875, 0.125, 0.750)

Output
Its total magnetization is 0.0 μB/f.u. The calculation puts the formation energy from the elements at -0.13 eV/atom. The final energy comes out at -3.626 eV per atom.


Compound: PrMgGe2
Source: Alexandria
Functional: PBE-GGA
Structure: relaxed

Unit cell a=5.805 b=5.805 c=5.805 alpha=46.01 beta=46.01 gamma=46.01
Fractional positions:
Pr (0.000, 0.000, 0.000)
Mg (0.500, 0.500, 0.500)
Ge (0.227, 0.227, 0.227)
Ge (0.773, 0.773, 0.773)

Output
Its total magnetization is 0.0 μB/f.u. The calculation puts the distance to the lowest polymorph of the same formula at 0.45 eV/f.u. The calculation puts the formation energy from the elements at -0.42 eV/atom. The final energy comes out at -4.327 eV per atom.


Compound: SnSb2Se3
Source: Alexandria
Functional: PBE-GGA
Structure: relaxed

Unit cell a=8.106 b=4.035 c=11.592 alpha=90.00 beta=106.83 gamma=90.00
Fractional positions:
Sn (0.240, 0.250, 0.182)
Sn (0.760, 0.750, 0.818)
Sb (0.262, 0.750, 0.499)
Sb (0.372, 0.250, 0.920)
Sb (0.628, 0.750, 0.080)
Sb (0.738, 0.250, 0.501)
Se (0.058, 0.250, 0.371)
Se (0.154, 0.750, 0.962)
Se (0.461, 0.750, 0.348)
Se (0.539, 0.250, 0.652)
Se (0.846, 0.250, 0.038)
Se (0.942, 0.750, 0.629)

Output
Its total magnetization is 0.0 μB/f.u. The final energy comes out at -3.956 eV per atom. The formation energy from raw total energies is -172 meV/atom.


Compound: Cu2OsAu
Source: Alexandria
Functional: PBE-GGA
Structure: relaxed

Unit cell a=2.716 b=2.716 c=7.672 alpha=90.00 beta=90.00 gamma=90.00
Fractional positions:
Cu (0.000, 0.000, 0.000)
Cu (0.500, 0.500, 0.220)
Os (0.000, 0.000, 0.455)
Au (0.500, 0.500, 0.740)

Output
Its total magnetization is 0.1 μB/f.u. The calculation puts the distance to the lowest polymorph of the same formula at 0.57 eV/f.u. The calculation puts the formation energy from the elements at 0.37 eV/atom. The final energy comes out at -5.303 eV per atom.


Compound: Li3Hg3Pd5
Source: Alexandria
Functional: PBE-GGA
Structure: relaxed

Unit cell a=8.662 b=8.662 c=2.931 alpha=90.00 beta=90.00 gamma=120.00
Fractional positions:
Li (0.000, 0.168, 0.000)
Li (0.168, 0.000, 0.000)
Li (0.832, 0.832, 0.000)
Hg (0.000, 0.413, 0.500)
Hg (0.413, 0.000, 0.500)
Hg (0.587, 0.587, 0.500)
Pd (0.000, 0.684, 0.000)
Pd (0.316, 0.316, 0.000)
Pd (0.333, 0.667, 0.000)
Pd (0.667, 0.333, 0.000)
Pd (0.684, 0.000, 0.000)

Output
Its total magnetization is 0.0 μB/f.u. The calculation puts the formation energy from the elements at 0.01 eV/atom. The final energy comes out at -2.951 eV per atom.


Compound: Y2GaCoHg
Source: Alexandria
Functional: PBE-GGA
Structure: relaxed

Unit cell a=5.149 b=5.149 c=4.550 alpha=90.00 beta=90.00 gamma=90.00
Fractional positions:
Y (0.000, 0.500, 0.000)
Y (0.500, 0.000, 0.000)
Ga (0.000, 0.000, 0.500)
Co (0.000, 0.000, 0.000)
Hg (0.500, 0.500, 0.500)

Output
Its total magnetization is 0.0 μB/f.u. The calculation puts the formation energy from the elements at -0.30 eV/atom. The final energy comes out at -4.968 eV per atom.


Compound: Tb4Ag2Pt
Source: Alexandria
Functional: PBE-GGA
Structure: relaxed

Unit cell a=8.785 b=8.785 c=8.785 alpha=33.41 beta=33.41 gamma=33.41
Fractional positions:
Tb (0.122, 0.122, 0.122)
Tb (0.372, 0.372, 0.372)
Tb (0.628, 0.628, 0.628)
Tb (0.878, 0.878, 0.878)
Ag (0.245, 0.245, 0.245)
Ag (0.755, 0.755, 0.755)
Pt (0.000, 0.000, 0.000)

Output
Its total magnetization is 0.0 μB/f.u. The calculation puts the formation energy from the elements at -0.43 eV/atom. The final energy comes out at -4.757 eV per atom.


Compound: BaCa2MgCd4
Source: Alexandria
Functional: PBE-GGA
Structure: relaxed

Unit cell a=10.324 b=10.324 c=10.324 alpha=29.94 beta=29.94 gamma=29.94
Fractional positions:
Ba (0.000, 0.000, 0.000)
Ca (0.236, 0.236, 0.236)
Ca (0.764, 0.764, 0.764)
Mg (0.500, 0.500, 0.500)
Cd (0.126, 0.126, 0.126)
Cd (0.397, 0.397, 0.397)
Cd (0.603, 0.603, 0.603)
Cd (0.874, 0.874, 0.874)

Output
Its total magnetization is 0.0 μB/f.u. The calculation puts the formation energy from the elements at -0.25 eV/atom. The final energy comes out at -1.648 eV per atom.